# Rb2InWF6

A relaxed structure of Rb2InWF6 (GGA+U, the Alexandria database).

N(E_F)   0.00 states/eV/f.u.
Total magnetization   3.003 μB/cell
Crystal system   cubic
Total energy   -48.10 eV for the cell shown

a b c (Å): 6.6716 6.6716 6.6699
angles (deg): 59.99 59.99 90.00
Positions (direct):
Rb 0.7500 0.2500 0.5000
Rb 0.2500 0.7500 0.5000
F 0.7755 0.2245 0.0000
F 0.2243 0.2243 0.5514
F 0.7755 0.7755 0.0000
F 0.7757 0.7757 0.4486
F 0.2245 0.2245 0.0000
F 0.2245 0.7755 0.0000
In 0.5000 0.5000 0.0000
W 0.0000 0.0000 0.0000